No. 1
Below is crystalline TlSi2N at its relaxed geometry, with properties calculated at the GGA-PBE level.

Output
size of the total moment: 0.00 μB per atom
total DFT energy (no corrections): -4.969 eV/atom
space group: No. 122
ΔE_f (raw): 0.42 eV per atom
ΔE to the lowest computed polymorph: 0.00 eV/f.u.

Geometry as POSCAR:
```
TlSi2N
1.0
4.892 0.000 0.000
0.000 4.892 0.000
2.446 2.446 5.676
Si Tl N
4 2 2
direct
0.375 0.535 0.750
0.875 0.715 0.750
0.285 0.625 0.250
0.465 0.125 0.250
0.000 0.000 0.000
0.750 0.250 0.500
0.500 0.500 0.000
0.250 0.750 0.500
```



No. 2
Below is crystalline Tm3Cu2Ge3 at its relaxed geometry, with properties calculated at the GGA-PBE level.

Output
size of the total moment: 0.10 μB per atom
total DFT energy (no corrections): -5.106 eV/atom
space group: No. 63
DFT formation energy: -674 meV per atom

Geometry as POSCAR:
```
Tm3Cu2Ge3
1.0
-0.386 -2.915 2.976
4.437 -0.971 -3.316
8.046 7.640 8.526
Tm Cu Ge
6 4 6
direct
0.636 0.272 0.250
0.364 0.728 0.750
0.918 0.836 0.113
0.918 0.836 0.387
0.082 0.164 0.887
0.082 0.164 0.613
0.787 0.574 0.594
0.213 0.426 0.406
0.787 0.574 0.906
0.213 0.426 0.094
0.386 0.773 0.542
0.658 0.316 0.750
0.614 0.227 0.042
0.386 0.773 0.958
0.614 0.227 0.458
0.342 0.684 0.250
```



No. 3
Below is crystalline La2ThAg at its relaxed geometry, with properties calculated at the GGA-PBE level.

Output
size of the total moment: 0.00 μB per atom
total DFT energy (no corrections): -4.999 eV/atom
space group: No. 8
DFT formation energy: 33 meV per atom
ΔE to the lowest computed polymorph: 0.66 eV/f.u.

Geometry as POSCAR:
```
La2ThAg
1.0
3.646 -0.012 -0.007
1.812 3.164 -0.007
1.799 1.039 10.914
La Ag Th
2 1 1
direct
0.073 0.073 0.772
0.254 0.254 0.227
0.664 0.664 0.000
0.508 0.508 0.501
```